Below is a geometry-optimized CoH2PbS structure, with properties calculated at the PBE level.

Unit cell a=3.5903 b=4.9191 c=3.5903 alpha=90.00 beta=90.00 gamma=90.00
Last column: nearest neighbours and their distance in Å.
Atoms (fractional coordinates):
Co 0.0000 0.5000 0.0000  2 S 2.46, 4 Pb 2.54
H 0.5000 0.0000 0.0000  2 S 1.80
H 0.0000 0.0000 0.5000  2 S 1.80
Pb 0.5000 0.5000 0.5000  4 Co 2.54
S 0.0000 0.0000 0.0000  4 H 1.80

Fermi-level density of states ... 2.31 states/eV/f.u.
Final energy ... -3.8751 eV/atom